Record 1
# MgAlGeSb

An optimized crystal structure of MgAlGeSb (PBE-GGA, Alexandria).

It has space group F-43m (No. 216), with a = 6.980 Å, b = 6.980 Å, c = 6.980 Å, α = 90.00°, β = 90.00° and γ = 90.00°. The inequivalent atoms are Mg at (0.000, 0.000, 0.000), Al at (0.000, 0.000, 0.500), Ge at (0.250, 0.250, 0.250) and Sb at (0.250, 0.250, 0.750).

The calculation puts the density of states at the Fermi level at 0.602 states/eV per atom. The uncorrected formation energy is 2.38 kcal/mol of atoms. As for the electronic total energy: -3.416 eV per atom. The value obtained for the total magnetization is 0.00 μB/f.u.

=====

Record 2
# SmMg2AlGe2

An optimized crystal structure of SmMg2AlGe2 (PBE-GGA, Alexandria).

It has space group Pmc2_1 (No. 26), with a = 4.187 Å, b = 8.551 Å, c = 7.078 Å, α = 90.00°, β = 90.00° and γ = 90.00°. The inequivalent atoms are Sm at (0.000, 0.082, 0.000), Mg at (0.000, 0.318, 0.397), Mg at (0.500, 0.424, 0.072), Al at (0.500, 0.194, 0.681), Ge at (0.000, 0.377, 0.777) and Ge at (0.500, 0.121, 0.306).

The calculation puts the density of states at the Fermi level at 0.442 states/eV per atom. As for the electronic total energy: -3.861 eV per atom. The formation energy from the elements comes out at -0.38 eV/atom. The value obtained for the total magnetization is 0.00 μB/f.u.

=====

Record 3
# MgAlSnGe

An optimized crystal structure of MgAlSnGe (PBE-GGA, Alexandria).

It has space group F-43m (No. 216), with a = 6.960 Å, b = 6.960 Å, c = 6.960 Å, α = 90.00°, β = 90.00° and γ = 90.00°. The inequivalent atoms are Mg at (0.000, 0.000, 0.000), Al at (0.000, 0.000, 0.500), Sn at (0.250, 0.250, 0.250) and Ge at (0.250, 0.250, 0.750).

The calculation puts the density of states at the Fermi level at 0.652 states/eV per atom. As for the electronic total energy: -3.401 eV per atom. The formation energy from the elements comes out at 0.09 eV/atom. The value obtained for the total magnetization is 0.00 μB/f.u.

=====

Record 4
# Sr2MgAl3Ge4

An optimized crystal structure of Sr2MgAl3Ge4 (PBE-GGA, Alexandria).

It has space group P-4m2 (No. 115), with a = 4.702 Å, b = 4.702 Å, c = 10.258 Å, α = 90.00°, β = 90.00° and γ = 90.00°. The inequivalent atoms are Sr at (0.000, 0.500, 0.236), Mg at (0.000, 0.000, 0.500), Al at (0.000, 0.500, 0.886), Al at (0.500, 0.500, 0.500), Ge at (0.000, 0.000, 0.000), Ge at (0.000, 0.500, 0.636) and Ge at (0.500, 0.500, 0.000).

The calculation puts the density of states at the Fermi level at 0.222 states/eV per atom. As for the electronic total energy: -3.820 eV per atom. The formation energy from the elements comes out at -0.35 eV/atom. The value obtained for the total magnetization is 0.00 μB/f.u.